First-principles (PBE) data for a relaxed structure of Mn2CdAu, as listed in the Alexandria database.

- magnetization (μB/cell) = 7.5
- final energy (eV per atom) = -5.455
- D(E_F) (states/eV per cell) = 3.175

Unit cell a=4.994 b=4.994 c=4.887 alpha=78.85 beta=78.85 gamma=34.53
Fractional positions:
Au 0.495 0.495 0.520
Cd 0.251 0.251 0.237
Mn 0.006 0.006 0.999
Mn 0.748 0.748 0.744